This record from the Alexandria database describes a relaxed structure of Cd2Cu2SbPd5. The functional is GGA-PBE.

Cell lengths 9.341, 9.341, 3.865 Å; angles 90.00, 90.00, 90.00 degrees
Space group P4/mbm (No. 127)
Symmetry-distinct sites (fractional):
Cd 0.167 0.333 0.000 (multiplicity 4)
Cu 0.127 0.627 0.000 (multiplicity 4)
Sb 0.000 0.000 0.000 (multiplicity 2)
Pd 0.000 0.500 0.500 (multiplicity 2)
Pd 0.084 0.803 0.500 (multiplicity 8)

Values from the calculation:
**Uncorrected formation energy**: -0.24 eV/atom
**Volume**: 337.3 Å³/cell
**Raw total energy**: -85.0 eV/cell

This record from the Alexandria database describes a relaxed structure of CdCuSbPd. The functional is GGA-PBE.

Cell lengths 6.641, 6.641, 6.641 Å; angles 90.00, 90.00, 90.00 degrees
Space group F-43m (No. 216)
Symmetry-distinct sites (fractional):
Cd 0.000 0.000 0.000 (multiplicity 4)
Cu 0.250 0.250 0.750 (multiplicity 4)
Sb 0.000 0.000 0.500 (multiplicity 4)
Pd 0.250 0.250 0.250 (multiplicity 4)

Values from the calculation:
**Uncorrected formation energy**: -0.06 eV/atom
**Volume**: 292.8 Å³/cell
**Raw total energy**: -58.2 eV/cell

This record from the Alexandria database describes a relaxed structure of Sc4CdCuPd2. The functional is GGA-PBE.

Cell lengths 4.7434, 4.7434, 23.3410 Å; angles 90.00, 90.00, 120.00 degrees
Space group R-3m (No. 166, hexagonal axes)
Symmetry-distinct sites (fractional):
Sc 0.0000 0.0000 0.1188 (multiplicity 6)
Sc 0.0000 0.0000 0.3699 (multiplicity 6)
Cd 0.0000 0.0000 0.5000 (multiplicity 3)
Cu 0.0000 0.0000 0.0000 (multiplicity 3)
Pd 0.0000 0.0000 0.2470 (multiplicity 6)

Values from the calculation:
**Volume**: 454.8 Å³/cell
**Raw total energy**: -135.8 eV/cell

This record from the Alexandria database describes a relaxed structure of Sc4CdCu2Pd. The functional is GGA-PBE.

Cell lengths 4.7402, 4.7402, 23.2130 Å; angles 90.00, 90.00, 120.00 degrees
Space group R-3m (No. 166, hexagonal axes)
Symmetry-distinct sites (fractional):
Sc 0.0000 0.0000 0.1194 (multiplicity 6)
Sc 0.0000 0.0000 0.3707 (multiplicity 6)
Cd 0.0000 0.0000 0.5000 (multiplicity 3)
Cu 0.0000 0.0000 0.2444 (multiplicity 6)
Pd 0.0000 0.0000 0.0000 (multiplicity 3)

Values from the calculation:
**Volume**: 451.7 Å³/cell
**Raw total energy**: -128.8 eV/cell

This record from the Alexandria database describes a relaxed structure of Cd2CuSi2Pd5. The functional is GGA-PBE.

Cell lengths 10.051, 10.051, 3.175 Å; angles 90.00, 90.00, 90.00 degrees
Space group P4/mbm (No. 127)
Symmetry-distinct sites (fractional):
Cd 0.177 0.323 0.000 (multiplicity 4)
Cu 0.000 0.000 0.000 (multiplicity 2)
Si 0.132 0.632 0.000 (multiplicity 4)
Pd 0.000 0.500 0.500 (multiplicity 2)
Pd 0.053 0.794 0.500 (multiplicity 8)

Values from the calculation:
**Uncorrected formation energy**: -0.37 eV/atom
**Volume**: 320.7 Å³/cell
**Raw total energy**: -92.8 eV/cell

This record from the Alexandria database describes a relaxed structure of SmCd2CuPd4. The functional is GGA-PBE.

Cell lengths 4.6340, 4.6340, 23.3750 Å; angles 90.00, 90.00, 120.00 degrees
Space group R-3m (No. 166, hexagonal axes)
Symmetry-distinct sites (fractional):
Sm 0.0000 0.0000 0.0000 (multiplicity 3)
Cd 0.0000 0.0000 0.2452 (multiplicity 6)
Cu 0.0000 0.0000 0.5000 (multiplicity 3)
Pd 0.0000 0.0000 0.1269 (multiplicity 6)
Pd 0.0000 0.0000 0.3890 (multiplicity 6)

Values from the calculation:
**Volume**: 434.7 Å³/cell
**Raw total energy**: -104.9 eV/cell

This record from the Alexandria database describes a relaxed structure of CdCuSnPd. The functional is GGA-PBE.

Cell lengths 6.578, 6.578, 6.578 Å; angles 90.00, 90.00, 90.00 degrees
Space group F-43m (No. 216)
Symmetry-distinct sites (fractional):
Cd 0.000 0.000 0.000 (multiplicity 4)
Cu 0.250 0.250 0.750 (multiplicity 4)
Sn 0.000 0.000 0.500 (multiplicity 4)
Pd 0.250 0.250 0.250 (multiplicity 4)

Values from the calculation:
**Volume**: 284.6 Å³/cell
**Raw total energy**: -59.5 eV/cell

This record from the Alexandria database describes a relaxed structure of Sr2CdCuPd6. The functional is GGA-PBE.

Cell lengths 9.790, 9.790, 9.790 Å; angles 90.00, 90.00, 90.00 degrees
Space group Fm-3m (No. 225)
Symmetry-distinct sites (fractional):
Sr 0.250 0.250 0.250 (multiplicity 8)
Cd 0.000 0.000 0.000 (multiplicity 4)
Cu 0.000 0.000 0.500 (multiplicity 4)
Pd 0.000 0.000 0.259 (multiplicity 24)

Values from the calculation:
**Volume**: 938.4 Å³/cell
**Raw total energy**: -159.3 eV/cell